# 1
! SrPa2PtO8, relaxed, DFT PBE; values from VASP
! symmetry	P-3m1 (164)
! magnetization	0.00	μB per cell
! formation energy from raw total energies	-2410	meV/atom
&SYSTEM
  ibrav = 0, nat = 12, ntyp = 4
/
ATOMIC_SPECIES
O 16.00 O.upf
Pt 195.08 Pt.upf
Pa 231.04 Pa.upf
Sr 87.62 Sr.upf
CELL_PARAMETERS angstrom
5.472 0.000 0.000
-2.736 4.739 0.000
0.000 0.000 6.664
ATOMIC_POSITIONS angstrom
O 2.736 3.058 5.592
O 1.280 3.898 1.072
O 4.016 0.840 5.592
O -1.280 3.898 1.072
O 0.000 3.159 3.974
O 2.736 1.580 2.690
O 1.456 0.840 5.592
O 0.000 1.681 1.072
Pt 0.000 0.000 0.000
Pa 0.000 3.159 5.861
Pa 2.736 1.580 0.803
Sr 0.000 0.000 3.332

# 2
! TcNi2Pt, relaxed, DFT PBE; values from VASP
! energy relative to the elements	0.16	eV/atom
! symmetry	Immm (71)
! magnetization	0.84	μB per cell
! relative energy among the computed polymorphs	0.2406	eV/atom
&SYSTEM
  ibrav = 0, nat = 4, ntyp = 3
/
ATOMIC_SPECIES
Ni 58.69 Ni.upf
Tc 98.00 Tc.upf
Pt 195.08 Pt.upf
CELL_PARAMETERS angstrom
5.108 0.106 0.172
2.276 4.574 -0.172
-3.097 -3.279 2.407
ATOMIC_POSITIONS angstrom
Ni 3.642 2.308 0.000
Ni 0.050 0.032 0.000
Tc 1.435 1.818 1.117
Pt 2.852 -0.417 1.289

# 3
! NpBe2Ga2, relaxed, DFT PBE; values from VASP
! energy relative to the elements	-0.06	eV/atom
! symmetry	P4/nmm (129)
! magnetization	7.65	μB per cell
&SYSTEM
  ibrav = 0, nat = 10, ntyp = 3
/
ATOMIC_SPECIES
Ga 69.72 Ga.upf
Be 9.01 Be.upf
Np 237.00 Np.upf
CELL_PARAMETERS angstrom
-0.272 3.954 -0.316
-1.183 0.221 3.789
9.246 0.862 2.837
ATOMIC_POSITIONS angstrom
Ga 4.623 0.431 1.419
Ga 0.584 0.220 2.255
Ga 7.935 2.730 2.319
Ga 3.895 2.519 3.155
Be 2.761 0.423 2.923
Be -0.728 2.088 1.737
Be 0.000 0.000 0.000
Be 5.758 2.527 1.651
Np 6.400 0.763 4.040
Np 2.119 2.187 0.534

# 4
! Dy4SnHgN, relaxed, DFT PBE; values from VASP
! symmetry	Cmcm (63)
! magnetization	0.00	μB per cell
! formation energy from raw total energies	-853	meV/atom
&SYSTEM
  ibrav = 0, nat = 14, ntyp = 4
/
ATOMIC_SPECIES
Dy 162.50 Dy.upf
N 14.01 N.upf
Hg 200.59 Hg.upf
Sn 118.71 Sn.upf
CELL_PARAMETERS angstrom
-0.882 4.835 -4.514
-1.680 -4.564 -4.561
-7.070 -1.791 4.396
ATOMIC_POSITIONS angstrom
Dy -7.439 -2.908 -1.661
Dy -4.375 -3.178 -0.083
Dy -7.154 1.802 -1.605
Dy -3.535 -0.896 2.198
Dy -2.193 1.388 -3.018
Dy -4.816 -0.760 -2.339
Dy -2.477 -3.321 -3.074
Dy -3.976 1.522 -0.059
N -4.586 1.587 -2.336
N -5.046 -3.107 -2.342
Hg -7.494 -0.522 -4.028
Hg -2.138 -0.998 -0.651
Sn -6.276 -0.653 0.527
Sn -3.356 -0.867 -5.206

# 5
! LiBiPd6, relaxed, DFT PBE; values from VASP
! energy relative to the elements	-0.16	eV/atom
! symmetry	P-1 (2)
! magnetization	0.00	μB per cell
! relative energy among the computed polymorphs	0.1046	eV/atom
&SYSTEM
  ibrav = 0, nat = 8, ntyp = 3
/
ATOMIC_SPECIES
Pd 106.42 Pd.upf
Bi 208.98 Bi.upf
Li 6.94 Li.upf
CELL_PARAMETERS angstrom
0.026 -6.974 -0.543
5.480 -4.374 2.974
0.369 -3.798 3.505
ATOMIC_POSITIONS angstrom
Pd 0.446 -2.916 0.861
Pd 5.429 -12.230 5.075
Pd 2.836 -11.793 3.858
Pd 1.528 -5.631 1.757
Pd 3.040 -3.352 2.079
Pd 4.347 -9.514 4.180
Bi 0.000 0.000 0.000
Li 2.938 -7.573 2.968

# 6
! Hf2Tl4Se, relaxed, DFT PBE; values from VASP
! symmetry	I4/mmm (139)
! magnetization	0.47	μB per cell
! formation energy from raw total energies	622	meV/atom
&SYSTEM
  ibrav = 0, nat = 7, ntyp = 3
/
ATOMIC_SPECIES
Tl 204.38 Tl.upf
Se 78.96 Se.upf
Hf 178.49 Hf.upf
CELL_PARAMETERS angstrom
-2.957 4.485 1.840
-4.733 -2.205 -2.231
-5.181 -2.298 6.035
ATOMIC_POSITIONS angstrom
Tl -1.479 2.242 0.920
Tl -2.366 -1.103 -1.116
Tl -8.217 0.924 2.066
Tl -4.654 -0.942 3.578
Se 0.000 0.000 0.000
Hf -8.780 -0.524 4.691
Hf -4.091 0.506 0.953

# 7
! V2InI8, relaxed, DFT PBE; values from VASP
! symmetry	C2/m (12)
! magnetization	3.00	μB per cell
! formation energy from raw total energies	-406	meV/atom
&SYSTEM
  ibrav = 0, nat = 11, ntyp = 3
/
ATOMIC_SPECIES
I 126.90 I.upf
V 50.94 V.upf
In 114.82 In.upf
CELL_PARAMETERS angstrom
8.817 -0.268 1.260
0.579 7.395 0.718
-0.643 -0.268 8.883
ATOMIC_POSITIONS angstrom
I 0.264 5.296 6.843
I 2.240 5.229 2.780
I 2.122 1.563 9.148
I 8.488 1.563 4.018
I 5.205 5.182 6.459
I 6.631 5.296 1.713
I 3.547 1.677 4.402
I 6.512 1.630 8.082
V 6.662 4.183 8.268
V 2.090 2.676 2.594
In 0.000 0.000 0.000

# 8
! CePd5Au4, relaxed, DFT PBE; values from VASP
! energy relative to the elements	-0.28	eV/atom
! symmetry	Pmmn (59)
! magnetization	1.39	μB per cell
&SYSTEM
  ibrav = 0, nat = 20, ntyp = 3
/
ATOMIC_SPECIES
Pd 106.42 Pd.upf
Au 196.97 Au.upf
Ce 140.12 Ce.upf
CELL_PARAMETERS angstrom
4.772 0.000 0.000
0.000 9.699 0.000
0.000 0.000 8.195
ATOMIC_POSITIONS angstrom
Pd 3.555 7.217 6.823
Pd 3.223 4.849 0.000
Pd 3.555 7.217 1.372
Pd 1.549 0.000 4.097
Pd 1.217 7.331 2.726
Pd 1.217 7.331 5.469
Pd 1.217 2.368 2.726
Pd 3.555 2.482 6.823
Pd 3.555 2.482 1.372
Pd 1.217 2.368 5.469
Au 4.462 0.000 6.179
Au 1.156 2.979 0.000
Au 0.310 4.849 6.113
Au 1.156 6.720 0.000
Au 3.616 1.871 4.097
Au 4.462 0.000 2.015
Au 0.310 4.849 2.082
Au 3.616 7.828 4.097
Ce 2.092 0.000 0.000
Ce 2.680 4.849 4.097

# 9
! HoTi2Te4, relaxed, DFT PBE; values from VASP
! symmetry	Cmcm (63)
! magnetization	5.07	μB per cell
! formation energy from raw total energies	-807	meV/atom
&SYSTEM
  ibrav = 0, nat = 14, ntyp = 3
/
ATOMIC_SPECIES
Te 127.60 Te.upf
Ti 47.87 Ti.upf
Ho 164.93 Ho.upf
CELL_PARAMETERS angstrom
-3.138 2.208 -1.253
2.374 -3.461 -5.546
-8.786 -10.797 2.978
ATOMIC_POSITIONS angstrom
Te -2.132 -2.887 0.253
Te -1.569 1.104 -0.626
Te -2.095 -1.360 -3.653
Te -7.455 -10.691 -0.168
Te -5.962 -4.295 0.863
Te -7.418 -9.164 -4.074
Te -4.562 -4.392 -2.817
Te -4.988 -7.659 -1.004
Ti -5.950 -6.807 -3.598
Ti -0.399 -1.309 -1.308
Ti -3.600 -5.243 -0.223
Ti -9.151 -10.742 -2.513
Ho -7.942 -7.629 -0.056
Ho -1.608 -4.421 -3.765

# 10
! MnCl2, relaxed, DFT PBE; values from VASP
! symmetry	I4_1/amd (141)
! magnetization	10.00	μB per cell
! formation energy from raw total energies	-710	meV/atom
&SYSTEM
  ibrav = 0, nat = 6, ntyp = 2
/
ATOMIC_SPECIES
Cl 35.45 Cl.upf
Mn 54.94 Mn.upf
CELL_PARAMETERS angstrom
-1.619 1.619 13.752
1.619 -1.619 13.752
1.619 1.619 -13.752
ATOMIC_POSITIONS angstrom
Cl 0.000 0.000 12.234
Cl 0.000 0.000 15.271
Cl 1.619 0.000 5.357
Cl 1.619 0.000 8.395
Mn 0.000 1.619 6.876
Mn 0.000 0.000 0.000

# 11
! SnH2ClF, relaxed, DFT PBE; values from VASP
! symmetry	P4/mmm (123)
! magnetization	0.54	μB per cell
! total DFT energy (no corrections)	-15.08	eV for the cell shown
&SYSTEM
  ibrav = 0, nat = 5, ntyp = 4
/
ATOMIC_SPECIES
H 1.01 H.upf
F 19.00 F.upf
Cl 35.45 Cl.upf
Sn 118.71 Sn.upf
CELL_PARAMETERS angstrom
3.886 0.000 0.000
0.000 5.081 0.000
0.000 0.000 3.886
ATOMIC_POSITIONS angstrom
H 1.943 0.000 0.000
H 0.000 0.000 1.943
F 1.943 2.541 1.943
Cl 0.000 2.541 0.000
Sn 0.000 0.000 0.000

# 12
! MnP2Br, relaxed, DFT PBE; values from VASP
! symmetry	P4/mmm (123)
! magnetization	0.00	μB per cell
! relative energy among the computed polymorphs	0.1360	eV/atom
! formation energy from raw total energies	68	meV/atom
&SYSTEM
  ibrav = 0, nat = 4, ntyp = 3
/
ATOMIC_SPECIES
P 30.97 P.upf
Br 79.90 Br.upf
Mn 54.94 Mn.upf
CELL_PARAMETERS angstrom
-1.887 1.644 -1.323
-2.099 -1.642 0.954
-0.684 5.183 7.417
ATOMIC_POSITIONS angstrom
P -0.612 4.636 6.633
P -0.414 3.139 4.492
Br -2.164 1.297 1.670
Mn -2.506 3.888 5.378